VASP calculation (GGA-PBE) on a relaxed structure of DyScHg2.

Cell: 9.303 9.303 9.303 Å, 22.44 22.44 22.44°
Atoms (fractional coordinates):
Dy 0.000 0.000 0.000
Sc 0.500 0.500 0.500
Hg 0.246 0.246 0.246
Hg 0.754 0.754 0.754

Computed properties:
energy above the most stable polymorph in this dataset: 144 meV per atom
energy of formation from the pure elements: -306 meV per atom
DFT total energy: -3.190 eV/atom
size of the total moment: 0.0 μB/cell

=====

VASP calculation (GGA-PBE) on a relaxed structure of Dy2Sc2Hg3.

Cell: 13.508 13.508 3.592 Å, 90.00 90.00 164.37°
Atoms (fractional coordinates):
Dy 0.071 0.929 0.000
Dy 0.929 0.071 0.000
Sc 0.202 0.798 0.000
Sc 0.798 0.202 0.000
Hg 0.354 0.646 0.500
Hg 0.500 0.500 0.500
Hg 0.646 0.354 0.500

Computed properties:
energy of formation from the pure elements: -285 meV per atom
DFT total energy: -3.538 eV/atom
size of the total moment: 1.3 μB/cell

=====

VASP calculation (GGA-PBE) on a relaxed structure of DySc2Hg3.

Cell: 3.581 3.581 10.815 Å, 90.00 90.00 90.00°
Atoms (fractional coordinates):
Dy 0.000 0.000 0.000
Sc 0.000 0.000 0.340
Sc 0.000 0.000 0.660
Hg 0.500 0.500 0.183
Hg 0.500 0.500 0.500
Hg 0.500 0.500 0.817

Computed properties:
energy of formation from the pure elements: -440 meV per atom
DFT total energy: -3.468 eV/atom
size of the total moment: 0.2 μB/cell